[1]
First-principles (PBE) data for crystalline K4ZrNi at its relaxed geometry, as listed in the Alexandria database.

Computed properties:
Total magnetic moment in μB/f.u.: 3.823
Raw total energy in eV/atom: -1.8650
Calculated formation energy in eV per atom: 1.255
Symmetry: No. 216

Lattice parameters (Å, degrees): 7.0570 7.0570 7.0570 60.00 60.00 60.00
With the nearest neighbours (Å) after each atom.
Element x y z (fractional)
Ni (0.7500, 0.7500, 0.7500)  12 K 4.14, 4 Zr 4.32
K (0.3758, 0.3758, 0.8725)  6 K 3.51-3.55
K (0.3758, 0.3758, 0.3758)  6 K 3.51-3.55
K (0.8725, 0.3758, 0.3758)  6 K 3.51-3.55
K (0.3758, 0.8725, 0.3758)  6 K 3.51-3.55
Zr (0.0000, 0.0000, 0.0000)  12 K 4.14, 4 Ni 4.32

***

[2]
First-principles (PBE) data for crystalline Pr2Sm2Tl at its relaxed geometry, as listed in the Alexandria database.

Computed properties:
Total magnetic moment in μB/f.u.: 0.000
Raw total energy in eV/atom: -4.3585
Calculated formation energy in eV per atom: -0.086
Symmetry: No. 36

Lattice parameters (Å, degrees): 5.2339 6.9714 9.0802 90.00 106.75 90.00
With the nearest neighbours (Å) after each atom.
Element x y z (fractional)
Sm (0.3946, 0.5771, 0.7891)  3 Tl 3.47-3.63, 3 Sm 3.55-3.86, 7 Pr 3.56-3.82
Sm (0.6054, 0.0771, 0.2109)  3 Tl 3.47-3.63, 3 Sm 3.55-3.86, 7 Pr 3.56-3.82
Tl (0.3967, 0.0751, 0.7933)  5 Sm 3.47-3.63, 6 Pr 3.52-3.64
Sm (0.8058, 0.8402, 0.6117)  4 Pr 3.23-3.41, 2 Tl 3.47, 2 Sm 3.55
Tl (0.6033, 0.5751, 0.2067)  5 Sm 3.47-3.63, 6 Pr 3.52-3.64
Pr (0.0016, 0.8245, 0.0033)  3 Pr 3.40-3.49, 5 Sm 3.41-3.65, 4 Tl 3.61-3.64
Pr (0.8028, 0.3174, 0.6056)  5 Sm 3.23-3.56, 1 Pr 3.40, 2 Tl 3.52
Pr (0.1972, 0.8174, 0.3944)  5 Sm 3.23-3.56, 1 Pr 3.40, 2 Tl 3.52
Pr (0.9984, 0.3245, 0.9967)  3 Pr 3.40-3.49, 5 Sm 3.41-3.65, 4 Tl 3.61-3.64
Sm (0.1942, 0.3402, 0.3883)  4 Pr 3.23-3.41, 2 Tl 3.47, 2 Sm 3.55

***

[3]
First-principles (PBE) data for crystalline MgAgMo2 at its relaxed geometry, as listed in the Alexandria database.

Computed properties:
Total magnetic moment in μB/f.u.: 0.000
Raw total energy in eV/atom: -6.2298
Calculated formation energy in eV per atom: 0.297
Symmetry: No. 47

Lattice parameters (Å, degrees): 3.4928 3.9972 4.7488 90.00 90.00 90.00
With the nearest neighbours (Å) after each atom.
Element x y z (fractional)
Mo (0.5000, 0.5000, 0.0000)  4 Mo 2.65, 4 Mg 2.95
Mg (0.0000, 0.5000, 0.5000)  4 Ag 2.65, 4 Mo 2.95
Ag (0.5000, 0.0000, 0.5000)  4 Mg 2.65, 4 Mo 2.95
Mo (0.0000, 0.0000, 0.0000)  4 Mo 2.65, 4 Ag 2.95

***

[4]
First-principles (PBE) data for crystalline Tl2CdIn6 at its relaxed geometry, as listed in the Alexandria database.

Computed properties:
Total magnetic moment in μB/f.u.: 0.000
Raw total energy in eV/atom: -2.4182
Calculated formation energy in eV per atom: 0.035
Distance to the lowest polymorph of the same formula in meV per atom: 0.0
Symmetry: No. 191

Lattice parameters (Å, degrees): 3.3198 9.3491 9.3491 60.00 89.99 89.99
With the nearest neighbours (Å) after each atom.
Element x y z (fractional)
In (0.4988, 0.0000, 0.6722)  5 In 3.06-3.32
In (0.5012, 0.3278, 0.0000)  5 In 3.06-3.32
In (0.5012, 0.0000, 0.3278)  5 In 3.06-3.32
Tl (0.0000, 0.3333, 0.3333)  2 Tl 3.32, 12 In 3.55-3.56
Cd (0.0000, 0.0000, 0.0000)  2 Cd 3.32, 12 In 3.48-3.49
Tl (0.0000, 0.6667, 0.6667)  2 Tl 3.32, 12 In 3.55-3.56
In (0.5000, 0.3279, 0.6721)  5 In 3.06-3.32
In (0.5000, 0.6721, 0.3279)  5 In 3.06-3.32
In (0.4988, 0.6722, 0.0000)  5 In 3.06-3.32